{
  "formula": "CsTbCrO4",
  "functional": "GGA+U",
  "state": "relaxed",
  "lattice_angstrom": [[-3.733, -2.493, -3.816], [4.452, -0.614, -3.954], [3.280, -5.802, 4.593]],
  "species": ["O", "O", "O", "O", "O", "O", "O", "O", "Cr", "Cr", "Cs", "Cs", "Tb", "Tb"],
  "frac_coords": [[0.525, 0.250, 0.439], [0.045, 0.526, 0.339], [0.475, 0.750, 0.561], [0.955, 0.474, 0.661], [0.546, 0.250, 0.782], [0.454, 0.750, 0.218], [0.045, 0.974, 0.339], [0.955, 0.026, 0.661], [0.265, 0.750, 0.351], [0.735, 0.250, 0.649], [0.703, 0.750, 0.934], [0.297, 0.250, 0.066], [0.807, 0.750, 0.462], [0.193, 0.250, 0.538]],
  "n_ef_per_ev_cell": 0.00,
  "magnetic_moment_mub_per_fu": 2.0,
  "crystal_system": "monoclinic"
}

=====

{
  "formula": "CsCr2TeO8",
  "functional": "GGA+U",
  "state": "relaxed",
  "lattice_angstrom": [[5.368, -0.110, 0.154], [2.378, 4.814, 0.154], [0.604, 0.367, 8.837]],
  "species": ["Cs", "O", "O", "O", "O", "O", "O", "O", "O", "Cr", "Cr", "Te"],
  "frac_coords": [[0.000, 0.000, 0.500], [0.230, 0.230, 0.944], [0.682, 0.682, 0.365], [0.318, 0.318, 0.635], [0.764, 0.271, 0.176], [0.271, 0.764, 0.176], [0.236, 0.729, 0.824], [0.770, 0.770, 0.056], [0.729, 0.236, 0.824], [0.378, 0.378, 0.802], [0.622, 0.622, 0.198], [0.000, 0.000, 0.000]],
  "n_ef_per_ev_cell": 1.24,
  "magnetic_moment_mub_per_fu": 1.0,
  "crystal_system": "monoclinic"
}

=====

{
  "formula": "CsThCrO4",
  "functional": "GGA+U",
  "state": "relaxed",
  "lattice_angstrom": [[6.574, 0.000, 0.000], [-3.287, 6.116, -0.753], [0.000, -3.970, 6.529]],
  "species": ["Cs", "Cs", "O", "O", "O", "O", "O", "O", "O", "O", "Th", "Th", "Cr", "Cr"],
  "frac_coords": [[0.845, 0.690, 0.095], [0.155, 0.310, 0.905], [0.266, 0.533, 0.344], [0.739, 0.062, 0.281], [0.266, 0.533, 0.688], [0.323, 0.062, 0.281], [0.734, 0.467, 0.312], [0.734, 0.467, 0.656], [0.677, 0.938, 0.719], [0.261, 0.938, 0.719], [0.500, 0.000, 0.000], [0.500, 0.000, 0.500], [0.500, 0.500, 0.500], [0.000, 0.500, 0.500]],
  "n_ef_per_ev_cell": 0.00,
  "magnetic_moment_mub_per_fu": 3.0,
  "crystal_system": "orthorhombic"
}

=====

{
  "formula": "Cs2TiCrO4",
  "functional": "GGA+U",
  "state": "relaxed",
  "lattice_angstrom": [[5.430, 0.000, 0.000], [2.715, 6.481, 0.000], [2.715, 0.000, 10.717]],
  "species": ["O", "O", "O", "O", "O", "O", "O", "O", "Cr", "Cr", "Ti", "Ti", "Cs", "Cs", "Cs", "Cs"],
  "frac_coords": [[0.600, 0.171, 0.079], [0.428, 0.671, 0.421], [0.230, 0.171, 0.921], [0.150, 0.329, 0.421], [0.520, 0.329, 0.579], [0.901, 0.671, 0.579], [0.322, 0.829, 0.079], [0.849, 0.829, 0.921], [0.750, 0.500, 0.500], [0.000, 0.000, 0.000], [0.250, 0.500, 0.500], [0.500, 0.000, 0.000], [0.824, 0.000, 0.352], [0.926, 0.500, 0.148], [0.176, 0.000, 0.648], [0.574, 0.500, 0.852]],
  "magnetic_moment_mub_per_fu": 4.0,
  "crystal_system": "orthorhombic"
}

=====

{
  "formula": "CsTl2Cr2O7",
  "functional": "GGA+U",
  "state": "relaxed",
  "lattice_angstrom": [[-1.336, 4.358, 4.124], [-5.820, 1.818, 0.774], [-3.433, -3.778, 7.461]],
  "species": ["O", "O", "O", "O", "O", "O", "O", "Cs", "Tl", "Tl", "Cr", "Cr"],
  "frac_coords": [[0.983, 0.620, 0.276], [0.017, 0.878, 0.724], [0.380, 0.017, 0.724], [0.000, 0.000, 0.000], [0.122, 0.983, 0.276], [0.620, 0.122, 0.276], [0.878, 0.380, 0.724], [0.500, 0.500, 0.500], [0.702, 0.702, 0.895], [0.298, 0.298, 0.105], [0.929, 0.929, 0.214], [0.071, 0.071, 0.786]],
  "n_ef_per_ev_cell": 5.08,
  "magnetic_moment_mub_per_fu": 1.0,
  "crystal_system": "trigonal"
}

=====

{
  "formula": "CsTl2CrO4",
  "functional": "GGA+U",
  "state": "relaxed",
  "lattice_angstrom": [[5.829, 0.000, 0.000], [0.000, 8.215, 0.000], [0.000, 0.000, 7.994]],
  "species": ["O", "O", "O", "O", "O", "O", "O", "O", "Tl", "Tl", "Tl", "Tl", "Cs", "Cs", "Cr", "Cr"],
  "frac_coords": [[0.901, 0.342, 0.179], [0.961, 0.043, 0.000], [0.461, 0.957, 0.500], [0.309, 0.272, 0.000], [0.401, 0.658, 0.321], [0.901, 0.342, 0.821], [0.401, 0.658, 0.679], [0.809, 0.728, 0.500], [0.979, 0.655, 0.224], [0.979, 0.655, 0.776], [0.479, 0.345, 0.276], [0.479, 0.345, 0.724], [0.464, 0.914, 0.000], [0.964, 0.086, 0.500], [0.507, 0.754, 0.500], [0.007, 0.246, 0.000]],
  "magnetic_moment_mub_per_fu": 1.0,
  "crystal_system": "orthorhombic"
}

=====

{
  "formula": "CsTlCrO4",
  "functional": "GGA+U",
  "state": "relaxed",
  "lattice_angstrom": [[5.791, 0.000, -0.633], [0.000, 6.204, 0.000], [-2.960, 0.000, 8.573]],
  "species": ["O", "O", "O", "O", "O", "O", "O", "O", "Cr", "Cr", "Tl", "Tl", "Cs", "Cs"],
  "frac_coords": [[0.430, 0.750, 0.214], [0.570, 0.250, 0.786], [0.024, 0.529, 0.212], [0.340, 0.750, 0.485], [0.660, 0.250, 0.515], [0.024, 0.971, 0.212], [0.976, 0.471, 0.788], [0.976, 0.029, 0.788], [0.201, 0.750, 0.279], [0.799, 0.250, 0.721], [0.826, 0.750, 0.528], [0.174, 0.250, 0.472], [0.596, 0.750, 0.891], [0.404, 0.250, 0.109]],
  "n_ef_per_ev_cell": 0.00,
  "magnetic_moment_mub_per_fu": 0.0,
  "crystal_system": "monoclinic"
}

=====

{
  "formula": "CsVCrO4",
  "functional": "GGA+U",
  "state": "relaxed",
  "lattice_angstrom": [[5.391, 0.000, -1.000], [0.000, 5.870, 0.000], [-3.543, 0.000, 8.647]],
  "species": ["O", "O", "O", "O", "O", "O", "O", "O", "Cs", "Cs", "Cr", "Cr", "V", "V"],
  "frac_coords": [[0.327, 0.750, 0.230], [0.673, 0.250, 0.770], [0.963, 0.517, 0.336], [0.037, 0.483, 0.664], [0.500, 0.250, 0.444], [0.963, 0.983, 0.336], [0.037, 0.017, 0.664], [0.500, 0.750, 0.556], [0.388, 0.250, 0.111], [0.612, 0.750, 0.889], [0.760, 0.750, 0.461], [0.240, 0.250, 0.539], [0.179, 0.750, 0.356], [0.821, 0.250, 0.644]],
  "n_ef_per_ev_cell": 0.00,
  "magnetic_moment_mub_per_fu": 4.0,
  "crystal_system": "monoclinic"
}

=====

{
  "formula": "Cs2VCrO4",
  "functional": "GGA+U",
  "state": "relaxed",
  "lattice_angstrom": [[-1.811, -2.563, 4.491], [-2.346, -6.509, -1.318], [8.859, -5.151, 3.974]],
  "species": ["Cs", "Cs", "Cs", "Cs", "O", "O", "O", "O", "O", "O", "O", "O", "Cr", "Cr", "V", "V"],
  "frac_coords": [[0.824, 0.000, 0.352], [0.926, 0.500, 0.148], [0.176, 0.000, 0.648], [0.574, 0.500, 0.852], [0.632, 0.165, 0.077], [0.459, 0.665, 0.423], [0.873, 0.835, 0.923], [0.204, 0.165, 0.923], [0.118, 0.335, 0.423], [0.291, 0.835, 0.077], [0.546, 0.335, 0.577], [0.877, 0.665, 0.577], [0.000, 0.000, 0.000], [0.750, 0.500, 0.500], [0.500, 0.000, 0.000], [0.250, 0.500, 0.500]],
  "magnetic_moment_mub_per_fu": 3.0,
  "crystal_system": "orthorhombic"
}

=====

{
  "formula": "CsVCrO2",
  "functional": "GGA+U",
  "state": "relaxed",
  "lattice_angstrom": [[-1.172, 1.552, 3.667], [-5.232, -1.630, -0.983], [0.800, -3.653, 1.801]],
  "species": ["V", "Cs", "O", "O", "Cr"],
  "frac_coords": [[0.500, 0.500, 0.500], [0.000, 0.500, 0.000], [0.000, 0.000, 0.500], [0.500, 0.000, 0.000], [0.000, 0.000, 0.000]],
  "n_ef_per_ev_cell": 2.02,
  "magnetic_moment_mub_per_fu": 8.0,
  "crystal_system": "tetragonal"
}

=====

{
  "formula": "CsVCrO6",
  "functional": "GGA+U",
  "state": "relaxed",
  "lattice_angstrom": [[5.048, 0.000, 0.000], [2.524, 4.372, -0.001], [0.000, 0.000, 6.734]],
  "species": ["Cs", "O", "O", "O", "O", "O", "O", "Cr", "V"],
  "frac_coords": [[0.000, 0.000, 0.008], [0.603, 0.389, 0.659], [0.009, 0.394, 0.339], [0.008, 0.603, 0.659], [0.389, 0.008, 0.659], [0.394, 0.597, 0.339], [0.597, 0.009, 0.339], [0.333, 0.333, 0.545], [0.667, 0.667, 0.453]],
  "n_ef_per_ev_cell": 0.00,
  "magnetic_moment_mub_per_fu": 0.0,
  "crystal_system": "trigonal"
}

=====

{
  "formula": "CsCrWO6",
  "functional": "GGA+U",
  "state": "relaxed",
  "lattice_angstrom": [[-0.164, 3.423, 3.855], [-4.370, 2.912, 0.943], [-2.080, -4.914, 4.123]],
  "species": ["O", "O", "O", "O", "O", "O", "Cr", "W", "Cs"],
  "frac_coords": [[0.408, 0.992, 0.655], [0.391, 0.615, 0.343], [0.980, 0.419, 0.332], [0.613, 0.998, 0.337], [0.608, 0.402, 0.662], [0.005, 0.573, 0.672], [0.655, 0.666, 0.529], [0.334, 0.341, 0.473], [0.005, 0.994, 0.996]],
  "magnetic_moment_mub_per_fu": 1.0,
  "crystal_system": "triclinic"
}

=====

{
  "formula": "CsYCr2O8",
  "functional": "GGA+U",
  "state": "relaxed",
  "lattice_angstrom": [[-4.093, 0.953, -4.040], [-1.225, -3.253, 4.680], [-2.498, 6.936, 4.167]],
  "species": ["O", "O", "O", "O", "O", "O", "O", "O", "Cr", "Cr", "Y", "Cs"],
  "frac_coords": [[0.333, 0.667, 0.920], [0.667, 0.333, 0.080], [0.352, 0.178, 0.336], [0.178, 0.826, 0.664], [0.648, 0.822, 0.664], [0.174, 0.352, 0.664], [0.826, 0.648, 0.336], [0.822, 0.174, 0.336], [0.333, 0.667, 0.728], [0.667, 0.333, 0.272], [0.000, 0.000, 0.500], [0.000, 0.000, 0.000]],
  "n_ef_per_ev_cell": 0.00,
  "magnetic_moment_mub_per_fu": 0.0,
  "crystal_system": "trigonal"
}

=====

{
  "formula": "CsYCrO4",
  "functional": "GGA+U",
  "state": "relaxed",
  "lattice_angstrom": [[-3.740, 0.928, 4.432], [-1.214, -5.860, 0.203], [7.372, -1.423, 3.042]],
  "species": ["Cr", "Cr", "O", "O", "O", "O", "O", "O", "O", "O", "Y", "Y", "Cs", "Cs"],
  "frac_coords": [[0.265, 0.750, 0.351], [0.735, 0.250, 0.649], [0.545, 0.250, 0.782], [0.045, 0.974, 0.339], [0.045, 0.526, 0.339], [0.477, 0.750, 0.562], [0.955, 0.474, 0.661], [0.955, 0.026, 0.661], [0.455, 0.750, 0.218], [0.523, 0.250, 0.438], [0.192, 0.250, 0.538], [0.808, 0.750, 0.462], [0.297, 0.250, 0.066], [0.703, 0.750, 0.934]],
  "n_ef_per_ev_cell": 0.00,
  "magnetic_moment_mub_per_fu": 2.0,
  "crystal_system": "monoclinic"
}

=====

{
  "formula": "CsZrCr2O8",
  "functional": "GGA+U",
  "state": "relaxed",
  "lattice_angstrom": [[5.644, 0.068, -0.058], [2.664, 4.976, -0.058], [0.294, 0.179, 8.555]],
  "species": ["O", "O", "O", "O", "O", "O", "O", "O", "Cr", "Cr", "Cs", "Zr"],
  "frac_coords": [[0.198, 0.198, 0.894], [0.329, 0.329, 0.603], [0.314, 0.804, 0.162], [0.686, 0.196, 0.838], [0.671, 0.671, 0.397], [0.804, 0.314, 0.162], [0.196, 0.686, 0.838], [0.802, 0.802, 0.106], [0.650, 0.650, 0.209], [0.350, 0.350, 0.791], [0.000, 0.000, 0.500], [0.000, 0.000, 0.000]],
  "n_ef_per_ev_cell": 4.16,
  "magnetic_moment_mub_per_fu": 1.0,
  "crystal_system": "monoclinic"
}

=====

| no. | calculated total energy (eV/cell) |
| --- | --- |
| 1 | -97.6 |
| 2 | -74.0 |
| 3 | -104.2 |
| 4 | -106.5 |
| 5 | -70.3 |
| 6 | -85.5 |
| 7 | -80.9 |
| 8 | -96.3 |
| 9 | -97.8 |
| 10 | -24.0 |
| 11 | -59.1 |
| 12 | -60.6 |
| 13 | -85.0 |
| 14 | -101.1 |
| 15 | -86.6 |